[1]
CsCa2Cu2: relaxed, PBE.

## Properties
Mass density   3.0 g/cm3
Electronic total energy   -11.77 eV per cell
Calculated formation energy   256 meV/atom
Energy above the lowest structure with this stoichiometry   0.067 eV/atom
SG   I4/mmm (139)
Magnetization   0.000 μB/atom

abc: 7.360 7.360 7.360
angles: 136.30 136.30 63.52
Fractional positions:
Cs1 0.000 0.000 0.000
Ca1 0.330 0.330 0.000
Ca2 0.670 0.670 0.000
Cu1 0.250 0.750 0.500
Cu2 0.750 0.250 0.500



[2]
Ti2NbW2: relaxed, PBE.

## Properties
Mass density   10.9 g/cm3
Electronic total energy   -102.06 eV per cell
Calculated formation energy   148 meV/atom
SG   C2/c (15)
Magnetization   0.000 μB/atom

abc: 6.081 6.081 6.277
angles: 107.81 107.81 50.66
Fractional positions:
Ti1 0.019 0.771 0.547
Ti2 0.229 0.981 0.953
Ti3 0.771 0.019 0.047
Ti4 0.981 0.229 0.453
Nb1 0.377 0.623 0.250
Nb2 0.623 0.377 0.750
W1 0.172 0.420 0.850
W2 0.420 0.172 0.350
W3 0.580 0.828 0.650
W4 0.828 0.580 0.150



[3]
AlSbP2: relaxed, PBE.

## Properties
Mass density   4.8 g/cm3
Electronic total energy   -17.14 eV per cell
Formation energy without anion corrections   0.386 eV per atom
Energy above the lowest structure with this stoichiometry   0.456 eV/atom
SG   P4/mmm (123)
Magnetization   0.000 μB/atom

abc: 4.635 4.635 3.382
angles: 90.00 90.00 90.00
Fractional positions:
Al1 0.000 0.000 0.000
Sb1 0.500 0.500 0.000
P1 0.000 0.500 0.500
P2 0.500 0.000 0.500



[4]
DyGa4Sn: relaxed, PBE.

## Properties
Mass density   7.6 g/cm3
Electronic total energy   -22.19 eV per cell
Calculated formation energy   -246 meV/atom
SG   F-43m (216)
Magnetization   0.000 μB/atom

abc: 5.580 5.580 5.580
angles: 60.00 60.00 60.00
Fractional positions:
Dy1 0.000 0.000 0.000
Ga1 0.375 0.375 0.375
Ga2 0.375 0.375 0.875
Ga3 0.375 0.875 0.375
Ga4 0.875 0.375 0.375
Sn1 0.750 0.750 0.750